Material: NdAlAgPd
Method: DFT, PBE-GGA
State: relaxed

a b c (Å): 4.878 4.878 4.878
angles (deg): 60.00 60.00 60.00
Fractional coordinates of all 4 atoms:
Nd1 0.250 0.250 0.250
Pd1 0.000 0.000 0.000
Ag1 0.500 0.500 0.500
Al1 0.750 0.750 0.750

- crystal system = cubic
- total magnetization (μB per cell) = 0.0
- V (Å³/atom) = 20.52
- calculated formation energy (eV per atom) = -0.4572

Material: Ce2TmTh6
Method: DFT, PBE-GGA
State: relaxed

a b c (Å): 3.500 3.500 26.780
angles (deg): 90.00 90.00 120.00
Fractional coordinates of all 9 atoms:
Ce1 0.667 0.333 0.329
Ce2 0.667 0.333 0.671
Tm1 0.333 0.667 0.000
Th1 0.667 0.333 0.891
Th2 0.333 0.667 0.438
Th3 0.333 0.667 0.780
Th4 0.333 0.667 0.220
Th5 0.333 0.667 0.562
Th6 0.667 0.333 0.109

- crystal system = hexagonal
- total magnetization (μB per cell) = 0.0
- V (Å³/atom) = 31.56
- distance to the lowest polymorph of the same formula (meV per atom) = 6
- calculated formation energy (eV per atom) = 0.1042

Material: Al2CoSb
Method: DFT, PBE-GGA
State: relaxed

a b c (Å): 8.383 8.383 8.383
angles (deg): 21.54 21.54 21.54
Last column: magnetic moment on the atom in μB.
Fractional coordinates of all 4 atoms:
Sb1 0.750 0.750 0.750  -0.01
Co1 0.250 0.250 0.250  0.49
Al1 0.983 0.983 0.983  -0.01
Al2 0.517 0.517 0.517  -0.01

- crystal system = trigonal
- total magnetization (μB per cell) = 0.4
- V (Å³/atom) = 17.40
- formation energy (no corrections) (eV/atom) = 0.04

Material: LiRu3I
Method: DFT, PBE-GGA
State: relaxed

a b c (Å): 4.251 4.251 4.251
angles (deg): 90.00 90.00 90.00
Fractional coordinates of all 5 atoms:
I1 0.500 0.500 0.500
Ru1 0.000 0.500 0.000
Ru2 0.000 0.000 0.500
Ru3 0.500 0.000 0.000
Li1 0.000 0.000 0.000

- crystal system = cubic
- total magnetization (μB per cell) = 0.0
- V (Å³/atom) = 15.36
- distance to the lowest polymorph of the same formula (meV per atom) = 0
- formation energy (no corrections) (eV/atom) = 1.34

Material: La8Tl
Method: DFT, PBE-GGA
State: relaxed

a b c (Å): 5.110 8.254 8.254
angles (deg): 84.50 71.97 71.97
Fractional coordinates of all 9 atoms:
La1 0.335 0.000 0.330
La2 0.665 0.000 0.670
La3 0.678 0.322 0.322
La4 0.335 0.330 0.000
La5 0.000 0.322 0.678
La6 0.665 0.670 0.000
La7 0.322 0.678 0.678
La8 0.000 0.678 0.322
Tl1 0.000 0.000 0.000

- crystal system = tetragonal
- total magnetization (μB per cell) = 0.0
- V (Å³/atom) = 34.98
- calculated formation energy (eV per atom) = -0.0625

Material: SbN2F5
Method: DFT, PBE-GGA
State: relaxed

a b c (Å): 8.545 8.545 6.761
angles (deg): 89.74 89.74 135.30
Last column: magnetic moment on the atom in μB.
Fractional coordinates of all 16 atoms:
Sb1 0.128 0.872 0.250  0.00
Sb2 0.872 0.128 0.750  0.00
N1 0.546 0.454 0.750  1.94
N2 0.454 0.546 0.250  1.94
N3 0.778 0.222 0.250  1.94
N4 0.222 0.778 0.750  1.94
F1 0.248 0.752 0.250  0.01
F2 0.752 0.248 0.750  0.01
F3 0.885 0.631 0.408  0.01
F4 0.369 0.115 0.092  0.01
F5 0.115 0.369 0.592  0.01
F6 0.631 0.885 0.908  0.01
F7 0.930 0.785 0.047  0.01
F8 0.215 0.070 0.453  0.01
F9 0.070 0.215 0.953  0.01
F10 0.785 0.930 0.547  0.01

- crystal system = monoclinic
- total magnetization (μB per cell) = 12.0
- V (Å³/atom) = 21.70
- distance to the lowest polymorph of the same formula (meV per atom) = 1345
- formation energy (no corrections) (eV/atom) = -0.32

Material: Ba3Cu2RuO8
Method: DFT, PBE-GGA
State: relaxed

a b c (Å): 5.751 5.751 7.583
angles (deg): 90.00 90.00 120.00
Last column: magnetic moment on the atom in μB.
Fractional coordinates of all 14 atoms:
Ba1 0.333 0.667 0.651  0.01
Ba2 0.667 0.333 0.349  0.01
Ba3 0.000 0.000 0.000  0.00
Cu1 0.333 0.667 0.218  0.49
Cu2 0.667 0.333 0.782  0.49
Ru1 0.000 0.000 0.500  1.20
O1 0.333 0.667 0.982  0.31
O2 0.667 0.333 0.018  0.31
O3 0.159 0.841 0.344  0.15
O4 0.841 0.159 0.656  0.15
O5 0.159 0.318 0.344  0.15
O6 0.841 0.682 0.656  0.15
O7 0.682 0.841 0.344  0.15
O8 0.318 0.159 0.656  0.15

- crystal system = trigonal
- total magnetization (μB per cell) = 4.1
- V (Å³/atom) = 15.52
- formation energy (no corrections) (eV/atom) = -1.50

Material: Ca4Bi2I3
Method: DFT, PBE-GGA
State: relaxed

a b c (Å): 4.530 4.530 19.743
angles (deg): 90.06 89.94 120.02
Fractional coordinates of all 9 atoms:
Ca1 0.334 0.666 0.886
Ca2 0.999 0.001 0.307
Ca3 0.001 0.999 0.693
Ca4 0.666 0.334 0.114
Bi1 0.667 0.333 0.797
Bi2 0.333 0.667 0.203
I1 0.666 0.334 0.395
I2 0.000 0.000 0.000
I3 0.334 0.666 0.605

- crystal system = monoclinic
- total magnetization (μB per cell) = 0.0
- V (Å³/atom) = 38.98
- formation energy (no corrections) (eV/atom) = -1.15